DFT (PBE) results for crystalline PrY3Tl2 at its relaxed geometry.

Output
The distance to the lowest polymorph of the same formula comes out at 0.100 eV/atom. The density of states at the Fermi level comes out at 1.0273 states/eV/atom. Its crystal system is monoclinic. As for the energy of formation from the pure elements: -0.1979 eV/atom.

Unit cell a=8.7090 b=8.7090 c=9.3150 alpha=117.15 beta=117.15 gamma=36.50
Element x y z (fractional)
Pr (0.1310, 0.1310, 0.1752)
Pr (0.8690, 0.8690, 0.8248)
Y (0.0599, 0.0599, 0.7156)
Y (0.3061, 0.3061, 0.0057)
Y (0.3833, 0.3833, 0.4615)
Y (0.6167, 0.6167, 0.5385)
Y (0.6939, 0.6939, 0.9943)
Y (0.9401, 0.9401, 0.2844)
Tl (0.2217, 0.2217, 0.5960)
Tl (0.4834, 0.4834, 0.8292)
Tl (0.5166, 0.5166, 0.1708)
Tl (0.7783, 0.7783, 0.4040)